Record 1
## KFe2Os (PBE)

Data for an optimized crystal structure of KFe2Os.

E_form = 0.856 eV per atom
distance to the lowest polymorph of the same formula = 153.8 meV/atom
space group = Cm, No. 8

a = 4.4300 Å, b = 4.4300 Å, c = 7.0620 Å
α = 96.14°, β = 96.14°, γ = 35.76°
Closest atoms and distances in Å follow each position.
Element x y z (fractional)
K1 0.0000 0.0000 0.0000  2 K 2.72
Fe1 0.4926 0.4926 0.5173  2 Fe 2.40, 3 Os 2.46-2.48
Fe2 0.7837 0.7837 0.3590  2 Fe 2.40, 2 Os 2.46
Os1 0.2266 0.2266 0.6341  5 Fe 2.46-2.48, 2 Os 2.72


Record 2
## BaFeI2N (PBE)

Data for an optimized crystal structure of BaFeI2N.

distance to the lowest polymorph of the same formula = 0.0 meV/atom
space group = P4/mmm, No. 123

a = 5.7730 Å, b = 5.7730 Å, c = 3.6703 Å
α = 90.00°, β = 90.00°, γ = 90.00°
Closest atoms and distances in Å follow each position.
Element x y z (fractional)
Ba1 0.0000 0.0000 0.0000  8 I 3.42, 2 Ba 3.67
Fe1 0.5000 0.5000 0.5000  2 N 1.84
I1 0.0000 0.5000 0.5000  2 Fe 2.89
I2 0.5000 0.0000 0.5000  2 Fe 2.89
N1 0.5000 0.5000 0.0000  2 Fe 1.84


Record 3
## BeHgW2 (PBE)

Data for an optimized crystal structure of BeHgW2.

E_form = 0.480 eV per atom
distance to the lowest polymorph of the same formula = 36.3 meV/atom
space group = Pm, No. 6

a = 2.8411 Å, b = 4.1324 Å, c = 5.5188 Å
α = 90.00°, β = 100.30°, γ = 90.00°
Closest atoms and distances in Å follow each position.
Element x y z (fractional)
Be1 0.0000 0.0000 0.0000  5 W 2.46-2.75, 2 Hg 2.52
Hg1 0.0650 0.5000 0.2656  2 Be 2.52
W1 0.4215 0.5000 0.7989  4 W 2.59-2.84, 4 Be 2.72-2.75, 1 Hg 2.88
W2 0.6433 0.0000 0.5592  1 Be 2.46, 2 W 2.59